[1]
5
Lattice="4.076 0.000 0.000 0.000 4.076 0.000 0.000 0.000 5.090" Properties=species:S:1:pos:R:3 comment="Ga2TeCN PBE-GGA relaxed" space_group=P4/mmm pbc="T T T"
Ga 0.000 2.038 0.000
Ga 2.038 0.000 0.000
Te 0.000 0.000 2.545
C 0.000 0.000 0.000
N 2.038 2.038 2.545

***

[2]
5
Lattice="4.126 0.000 0.000 0.000 4.126 0.000 0.000 0.000 6.265" Properties=species:S:1:pos:R:3 comment="GaTeC2N PBE-GGA relaxed" space_group=P4/mmm pbc="T T T"
Ga 0.000 0.000 0.000
Te 0.000 0.000 3.133
C 0.000 2.063 3.133
C 2.063 0.000 3.133
N 2.063 2.063 0.000

***

[3]
5
Lattice="3.808 0.000 0.000 0.000 3.808 0.000 0.000 0.000 4.495" Properties=species:S:1:pos:R:3 comment="GaTeCN2 PBE-GGA relaxed" relative_energy_kj_per_mol_atoms=9.7 space_group=P4/mmm pbc="T T T"
Ga 0.000 0.000 0.000
Te 1.904 1.904 0.000
C 1.904 1.904 2.247
N 0.000 1.904 2.247
N 1.904 0.000 2.247

***

[4]
5
Lattice="3.600 0.000 0.000 0.000 3.600 0.000 0.000 0.000 7.988" Properties=species:S:1:pos:R:3 comment="GaTeCN2 PBE-GGA relaxed" relative_energy_kj_per_mol_atoms=0.0 space_group=P4/mmm pbc="T T T"
Ga 0.000 0.000 0.000
Te 0.000 0.000 3.994
C 1.800 1.800 3.994
N 0.000 1.800 0.000
N 1.800 0.000 0.000

***

[5]
12
Lattice="2.879 -4.986 0.000 2.879 4.986 0.000 -1.917 0.000 7.043" Properties=species:S:1:pos:R:3 comment="Zr6Ga3C2N PBE-GGA relaxed" space_group=C2/m pbc="T T T"
Zr 0.957 1.658 1.270
Zr -0.001 0.000 5.771
Zr 0.957 -1.658 1.270
Zr 2.884 1.658 5.773
Zr 3.843 0.000 1.273
Zr 2.884 -1.658 5.773
Ga 1.921 3.307 3.522
Ga 1.921 0.000 3.522
Ga 1.921 -3.307 3.522
C 2.879 1.661 0.000
C 2.879 -1.661 0.000
N 0.000 0.000 0.000

***

[6]
12
Lattice="7.417 -1.683 0.000 7.417 1.683 0.000 -1.548 0.000 6.750" Properties=species:S:1:pos:R:3 comment="Zr6GaC3N2 PBE-GGA relaxed" space_group=C2/m pbc="T T T"
Zr -0.401 0.000 1.904
Zr 3.364 0.000 6.121
Zr 4.280 0.000 2.793
Zr 9.007 0.000 3.957
Zr 9.922 0.000 0.629
Zr 13.687 0.000 4.846
Ga 7.417 0.000 0.000
C 1.207 0.000 5.612
C 6.643 0.000 3.375
C 12.079 0.000 1.138
N 2.028 0.000 2.308
N 11.258 0.000 4.442

***

In order of appearance, formation energy without anion corrections = 1.506 3.011 2.242 2.141 -0.863 -0.903 eV/atom.